An optimized crystal structure of Cd2CoF8, computed with GGA+U.

abc: 6.024 6.024 4.508
angles: 106.75 106.75 73.66
Positions (direct):
Cd1 0.158 0.158 0.366
Cd2 0.842 0.842 0.634
Co1 0.500 0.500 0.000
F1 0.094 0.094 0.816
F2 0.187 0.546 0.723
F3 0.388 0.388 0.225
F4 0.454 0.813 0.277
F5 0.546 0.187 0.723
F6 0.612 0.612 0.775
F7 0.813 0.454 0.277
F8 0.906 0.906 0.184

* E_tot: -3.87 eV per atom